# PBE with a Hubbard U VP2AuO, relaxed
# **ΔE to the lowest computed polymorph**: 2.305 eV/atom
# **Total DFT energy (no corrections)**: -2.914 eV/atom
data_VP2AuO
_symmetry_space_group_name_H-M 'P 1'
_symmetry_Int_Tables_number 1
_symmetry_space_group_name_Hall 'P 1'
_cell_length_a 6.383
_cell_length_b 6.383
_cell_length_c 4.974
_cell_angle_alpha 90.00
_cell_angle_beta 90.00
_cell_angle_gamma 90.00
loop_
_atom_site_label
_atom_site_type_symbol
_atom_site_fract_x
_atom_site_fract_y
_atom_site_fract_z
_atom_site_occupancy
V1 V 0.000 0.000 0.000 1
P1 P 0.000 0.500 0.500 1
P2 P 0.500 0.000 0.500 1
Au1 Au 0.000 0.000 0.500 1
O1 O 0.500 0.500 0.000 1